[1]
Material: GeOs2C2
Method: DFT, PBE-GGA
State: optimized geometry

Summary:
Space-group type   No. 139
Excess energy over the best structure of this formula in the dataset   0.0 kJ/mol of atoms
Total energy   -0.30232 Ha/atom
Total moment   0.00 μB per formula unit
DOS(E_F)   2.598 states/eV/f.u.

```
GeOs2C2
1.0
3.343 0.000 0.000
0.000 3.343 0.000
0.000 0.000 10.726
Ge Os C
2 4 4
direct
0.000 0.000 0.000 Ge
0.500 0.500 0.500 Ge
0.000 0.000 0.364 Os
0.000 0.000 0.636 Os
0.500 0.500 0.136 Os
0.500 0.500 0.864 Os
0.000 0.500 0.250 C
0.000 0.500 0.750 C
0.500 0.000 0.250 C
0.500 0.000 0.750 C
```



[2]
Material: Ca2CeNpBi4
Method: DFT, PBE-GGA
State: optimized geometry

Summary:
Space-group type   No. 10
Total energy   -0.19610 Ha/atom
Total moment   3.28 μB per formula unit
DOS(E_F)   12.393 states/eV/f.u.

```
Ca2CeNpBi4
1.0
7.864 0.000 0.000
0.000 4.610 0.000
-2.703 0.000 7.508
Ca Ce Np Bi
2 1 1 4
direct
0.000 0.000 0.000 Ca
0.000 0.500 0.500 Ca
0.500 0.000 0.500 Ce
0.500 0.500 0.000 Np
0.262 0.500 0.252 Bi
0.263 0.000 0.756 Bi
0.737 0.000 0.244 Bi
0.738 0.500 0.748 Bi
```



[3]
Material: TcMo2Os
Method: DFT, PBE-GGA
State: optimized geometry

Summary:
Space-group type   No. 122
Excess energy over the best structure of this formula in the dataset   74.2 kJ/mol of atoms
Total energy   -0.36528 Ha/atom
Total moment   0.00 μB per formula unit
DOS(E_F)   4.505 states/eV/f.u.

```
TcMo2Os
1.0
3.851 0.000 0.000
0.000 3.851 0.000
0.000 0.000 17.897
Tc Mo Os
4 8 4
direct
0.000 0.000 0.000 Tc
0.000 0.500 0.250 Tc
0.500 0.000 0.750 Tc
0.500 0.500 0.500 Tc
0.249 0.250 0.625 Mo
0.250 0.749 0.875 Mo
0.250 0.751 0.375 Mo
0.251 0.250 0.125 Mo
0.749 0.750 0.125 Mo
0.750 0.249 0.375 Mo
0.750 0.251 0.875 Mo
0.751 0.750 0.625 Mo
0.000 0.000 0.500 Os
0.000 0.500 0.750 Os
0.500 0.000 0.250 Os
0.500 0.500 0.000 Os
```



[4]
Material: SrSbSe2S
Method: DFT, PBE-GGA
State: optimized geometry

Summary:
Space-group type   No. 123
Total energy   -0.11249 Ha/atom
Total moment   1.00 μB per formula unit
DOS(E_F)   5.795 states/eV/f.u.

```
SrSbSe2S
1.0
5.766 0.000 0.000
0.000 5.766 0.000
0.000 0.000 5.408
Sr Sb Se S
1 1 2 1
direct
0.000 0.000 0.000 Sr
0.500 0.500 0.500 Sb
0.000 0.500 0.000 Se
0.500 0.000 0.000 Se
0.000 0.000 0.500 S
```



[5]
Material: HfMg2Al
Method: DFT, PBE-GGA
State: optimized geometry

Summary:
Space-group type   No. 166
Total energy   -0.14543 Ha/atom
Total moment   0.00 μB per formula unit
DOS(E_F)   2.232 states/eV/f.u.

```
HfMg2Al
1.0
3.038 0.000 0.000
-1.519 2.631 0.000
0.000 0.000 32.242
Hf Mg Al
3 6 3
direct
0.000 0.000 0.000 Hf
0.333 0.667 0.667 Hf
0.667 0.333 0.333 Hf
0.000 0.000 0.093 Mg
0.000 0.000 0.907 Mg
0.333 0.667 0.574 Mg
0.333 0.667 0.760 Mg
0.667 0.333 0.240 Mg
0.667 0.333 0.426 Mg
0.000 0.000 0.500 Al
0.333 0.667 0.167 Al
0.667 0.333 0.833 Al
```



[6]
Material: RbNa2TlAs
Method: DFT, PBE-GGA
State: optimized geometry

Summary:
Space-group type   No. 123
Excess energy over the best structure of this formula in the dataset   8.6 kJ/mol of atoms
Total energy   -0.07891 Ha/atom
Total moment   0.79 μB per formula unit
DOS(E_F)   4.622 states/eV/f.u.

```
RbNa2TlAs
1.0
5.630 0.000 0.000
0.000 5.630 0.000
0.000 0.000 6.719
Rb Na Tl As
1 2 1 1
direct
0.000 0.000 0.000 Rb
0.000 0.500 0.500 Na
0.500 0.000 0.500 Na
0.500 0.500 0.000 Tl
0.000 0.000 0.500 As
```



[7]
Material: LiTi2W
Method: DFT, PBE-GGA
State: optimized geometry

Summary:
Space-group type   No. 225
Excess energy over the best structure of this formula in the dataset   0.0 kJ/mol of atoms
Total energy   -0.27576 Ha/atom
Total moment   0.00 μB per formula unit
DOS(E_F)   3.462 states/eV/f.u.

```
LiTi2W
1.0
6.301 0.000 0.000
0.000 6.301 0.000
0.000 0.000 6.301
Li Ti W
4 8 4
direct
0.000 0.000 0.000 Li
0.000 0.500 0.500 Li
0.500 0.000 0.500 Li
0.500 0.500 0.000 Li
0.250 0.250 0.250 Ti
0.250 0.250 0.750 Ti
0.250 0.750 0.250 Ti
0.250 0.750 0.750 Ti
0.750 0.250 0.250 Ti
0.750 0.250 0.750 Ti
0.750 0.750 0.250 Ti
0.750 0.750 0.750 Ti
0.000 0.000 0.500 W
0.000 0.500 0.000 W
0.500 0.000 0.000 W
0.500 0.500 0.500 W
```



[8]
Material: Sm3Ir2
Method: DFT, PBE-GGA
State: optimized geometry

Summary:
Space-group type   No. 167
Excess energy over the best structure of this formula in the dataset   4.5 kJ/mol of atoms
Total energy   -0.25630 Ha/atom
Total moment   0.00 μB per formula unit
DOS(E_F)   1.940 states/eV/f.u.

```
Sm3Ir2
1.0
3.535 2.041 6.404
-3.535 2.041 6.404
0.000 -4.082 6.404
Sm Ir
6 4
direct
0.095 0.750 0.405 Sm
0.250 0.595 0.905 Sm
0.405 0.095 0.750 Sm
0.595 0.905 0.250 Sm
0.750 0.405 0.095 Sm
0.905 0.250 0.595 Sm
0.172 0.172 0.172 Ir
0.328 0.328 0.328 Ir
0.672 0.672 0.672 Ir
0.828 0.828 0.828 Ir
```